1.
! PBE-GGA Zn2CrMo, optimized geometry; values from VASP
&SYSTEM
  ibrav = 0, nat = 8, ntyp = 3
/
ATOMIC_SPECIES
Zn 65.41 Zn.upf
Cr 52.00 Cr.upf
Mo 95.94 Mo.upf
CELL_PARAMETERS angstrom
-3.4418 3.4418 2.5189
3.4418 -3.4418 2.5189
3.4418 3.4418 -2.5189
ATOMIC_POSITIONS angstrom
Zn 5.1628 1.6264 -0.6297
Zn 1.6264 1.7209 0.6297
Zn -1.7209 1.8155 1.8892
Zn 1.8155 1.7209 3.1487
Cr 0.0000 0.0000 0.0000
Cr 0.0000 3.4418 1.2595
Mo 3.4418 0.0000 1.2595
Mo 0.0000 0.0000 2.5189
! Offset from the most stable computed form (eV/atom): 0.564

=====

2.
! PBE-GGA HoNiSnIr, optimized geometry; values from VASP
&SYSTEM
  ibrav = 0, nat = 4, ntyp = 4
/
ATOMIC_SPECIES
Ho 164.93 Ho.upf
Ni 58.69 Ni.upf
Sn 118.71 Sn.upf
Ir 192.22 Ir.upf
CELL_PARAMETERS angstrom
0.0000 3.2947 3.2947
3.2947 0.0000 3.2947
3.2947 3.2947 0.0000
ATOMIC_POSITIONS angstrom
Ho 0.0000 0.0000 0.0000
Ni 4.9420 4.9420 4.9420
Sn 3.2947 3.2947 3.2947
Ir 1.6473 1.6473 1.6473
! Total energy (eV per atom): -6.32

=====

3.
! PBE-GGA VHPb2, optimized geometry; values from VASP
&SYSTEM
  ibrav = 0, nat = 8, ntyp = 3
/
ATOMIC_SPECIES
V 50.94 V.upf
H 1.01 H.upf
Pb 207.20 Pb.upf
CELL_PARAMETERS angstrom
-3.4270 3.4270 3.3498
3.4270 -3.4270 3.3498
3.4270 3.4270 -3.3498
ATOMIC_POSITIONS angstrom
V 0.0000 0.0000 0.0000
V 0.0000 3.4270 1.6749
H 3.4270 0.0000 1.6749
H 0.0000 0.0000 3.3498
Pb 1.7135 -1.2047 2.5124
Pb 2.2224 1.7135 0.8375
Pb 1.7135 4.6317 -0.8375
Pb 1.2047 1.7135 4.1873
! Offset from the most stable computed form (eV/atom): 0.000

=====

| no. | calculated density (Mg/m³) |
| --- | --- |
| 1 | 7.8 |
| 2 | 12.4 |
| 3 | 9.8 |